Here is a relaxed ZnFe2Ge crystal from Alexandria. Energies are from PBE.

Cell lengths 4.071, 4.071, 2.895 Å; angles 90.00, 90.00, 90.00 degrees
Fractional coordinates of all 4 atoms:
1 Zn 0.000 0.000 0.000
2 Fe 0.000 0.500 0.500
3 Fe 0.500 0.000 0.500
4 Ge 0.500 0.500 0.000

Values from the calculation:
Energy = -5.625 eV/atom
Calculated density = 8.6 g/cm3
E_form = 7.67 kJ/mol of atoms
Space-group type = No. 123

***

Here is a relaxed ZnFe2Ge2 crystal from Alexandria. Energies are from PBE.

Cell lengths 6.727, 6.727, 2.859 Å; angles 90.00, 90.00, 90.00 degrees
Fractional coordinates of all 10 atoms:
1 Zn 0.000 0.000 0.000
2 Zn 0.500 0.500 0.000
3 Fe 0.145 0.355 0.000
4 Fe 0.355 0.855 0.000
5 Fe 0.645 0.145 0.000
6 Fe 0.855 0.645 0.000
7 Ge 0.153 0.653 0.500
8 Ge 0.347 0.153 0.500
9 Ge 0.653 0.847 0.500
10 Ge 0.847 0.347 0.500

Values from the calculation:
Energy = -5.462 eV/atom
Calculated density = 8.3 g/cm3
E_form = 2.41 kJ/mol of atoms
Space-group type = No. 127

***

Here is a relaxed ZnFe4Ge crystal from Alexandria. Energies are from PBE.

Cell lengths 4.109, 4.781, 4.801 Å; angles 64.71, 65.85, 64.63 degrees
Fractional coordinates of all 6 atoms:
1 Zn 0.000 0.000 0.000
2 Fe 0.331 0.347 0.990
3 Fe 0.335 0.845 0.485
4 Fe 0.665 0.155 0.515
5 Fe 0.669 0.653 0.010
6 Ge 0.000 0.500 0.500

Values from the calculation:
Energy = -6.645 eV/atom
Calculated density = 8.1 g/cm3
E_form = -2.04 kJ/mol of atoms
Space-group type = No. 2